No. 1
Density functional theory data (PBE-GGA) for an optimized crystal structure of KReHg3O4.

Results
Its final energy is -42.30 eV for the cell shown.

Cell and atoms, written as CIF:
```
data_KReHg3O4
_chemical_formula_sum 'K1 Re1 Hg3 O4'
_cell_length_a 7.030
_cell_length_b 7.030
_cell_length_c 7.030
_cell_angle_alpha 90.00
_cell_angle_beta 90.00
_cell_angle_gamma 90.00
_symmetry_space_group_name_H-M 'P -4 3 m'
_symmetry_Int_Tables_number 215
_symmetry_space_group_name_Hall 'P -4 2 3'
loop_
_atom_site_label
_atom_site_fract_x
_atom_site_fract_y
_atom_site_fract_z
K1 0.000 0.000 0.000
Re1 0.500 0.500 0.500
Hg1 0.000 0.500 0.500
O1 0.355 0.355 0.355
```



No. 2
Density functional theory data (PBE-GGA) for an optimized crystal structure of KSmHgO3.

Results
Its final energy is -127.82 eV for the cell shown.

Cell and atoms, written as CIF:
```
data_KSmHgO3
_chemical_formula_sum 'K4 Sm4 Hg4 O12'
_cell_length_a 3.694
_cell_length_b 13.451
_cell_length_c 9.106
_cell_angle_alpha 90.00
_cell_angle_beta 90.00
_cell_angle_gamma 90.00
_symmetry_space_group_name_H-M 'C m c m'
_symmetry_Int_Tables_number 63
_symmetry_space_group_name_Hall '-C 2c 2'
loop_
_atom_site_label
_atom_site_fract_x
_atom_site_fract_y
_atom_site_fract_z
K1 0.000 0.176 0.250
Sm1 0.000 0.500 0.000
Hg1 0.000 0.113 0.750
O1 0.000 0.113 0.526
O2 0.000 0.469 0.750
```